Below is a geometry-optimized Nd12Er3Tl structure, with properties calculated at the GGA-PBE level.

Cell lengths 5.0858, 5.0858, 20.6315 Å; angles 90.00, 90.00, 90.00 degrees
Fractional positions:
1 Er 0.0000 0.0000 0.5000
2 Nd 0.0000 0.5000 0.1221
3 Nd 0.5000 0.5000 0.0000
4 Er 0.0000 0.0000 0.2487
5 Nd 0.5000 0.5000 0.7525
6 Tl 0.0000 0.0000 0.0000
7 Nd 0.5000 0.5000 0.2475
8 Nd 0.5000 0.5000 0.5000
9 Nd 0.0000 0.5000 0.3739
10 Nd 0.5000 0.0000 0.8779
11 Nd 0.0000 0.5000 0.6261
12 Nd 0.5000 0.0000 0.3739
13 Nd 0.5000 0.0000 0.1221
14 Er 0.0000 0.0000 0.7513
15 Nd 0.0000 0.5000 0.8779
16 Nd 0.5000 0.0000 0.6261

Results
* density of states at the Fermi level: 21.72 states/eV/f.u.
* ΔH_f (0 K): -0.034 eV per atom
* space-group type: No. 123